Entry from the Alexandria database: Cs3LaI8 after structural relaxation (GGA-PBE).

Lattice parameters (Å, degrees): 8.638 8.638 10.863 113.43 113.43 90.00
Positions (direct):
I  0.670  0.670  0.781
I  0.889  0.330  0.219
I  0.330  0.330  0.219
I  0.111  0.111  0.781
I  0.889  0.889  0.219
I  0.330  0.889  0.219
I  0.670  0.111  0.781
I  0.111  0.670  0.781
Cs  0.250  0.750  0.500
Cs  0.500  0.500  0.000
Cs  0.750  0.250  0.500
La  0.000  0.000  0.000

- E_form (uncorrected): -1.1631 eV per atom
- SG: No. 139